{
  "formula": "GaPt3S",
  "functional": "PBE",
  "state": "optimized geometry",
  "cell": [[-2.2068, -3.7137, -1.4547], [3.2211, -2.6399, 1.8529], [-2.3521, -0.1309, 3.9024]],
  "species": ["S", "Ga", "Pt", "Pt", "Pt"],
  "frac_coords": [[0.0000, 0.0000, 0.0000], [0.5000, 0.5000, 0.5000], [0.0000, 0.5000, 0.0000], [0.0000, 0.0000, 0.5000], [0.5000, 0.0000, 0.0000]],
  "de_polymorph_ev_per_fu": 0.00,
  "dft_energy_ev_per_cell": -23.704,
  "raw_formation_energy_ev_per_atom": 0.31,
  "spacegroup": "Pm-3m",
  "crystal_system": "cubic"
}

=====

{
  "formula": "Si2Ag",
  "functional": "PBE",
  "state": "optimized geometry",
  "cell": [[1.5405, 4.6411, -0.1661], [-1.5405, 4.6411, -0.1661], [0.0000, 1.6542, 6.8241]],
  "species": ["Si", "Si", "Si", "Si", "Ag", "Ag"],
  "frac_coords": [[0.8659, 0.8659, 0.4742], [0.5563, 0.5563, 0.2555], [0.4437, 0.4437, 0.7445], [0.1341, 0.1341, 0.5258], [0.1499, 0.1499, 0.9130], [0.8501, 0.8501, 0.0870]],
  "de_polymorph_ev_per_fu": 0.22,
  "dft_energy_ev_per_cell": -25.069,
  "raw_formation_energy_ev_per_atom": 0.39,
  "spacegroup": "C2/m",
  "crystal_system": "monoclinic"
}

=====

{
  "formula": "NdDy12Sc7",
  "functional": "PBE",
  "state": "optimized geometry",
  "cell": [[8.4713, 0.4380, 0.6574], [-1.9348, 8.2591, 0.6574], [-1.9348, -2.5743, 7.8751]],
  "species": ["Nd", "Dy", "Dy", "Dy", "Dy", "Dy", "Dy", "Dy", "Dy", "Dy", "Dy", "Dy", "Dy", "Sc", "Sc", "Sc", "Sc", "Sc", "Sc", "Sc"],
  "frac_coords": [[0.0000, 0.0000, 0.0000], [0.0000, 0.2620, 0.7380], [0.7380, 0.2620, 0.0000], [0.5972, 0.1654, 0.5972], [0.8346, 0.4028, 0.4028], [0.2620, 0.0000, 0.7380], [0.4028, 0.4028, 0.8346], [0.5972, 0.5972, 0.1654], [0.7380, 0.0000, 0.2620], [0.1654, 0.5972, 0.5972], [0.4028, 0.8346, 0.4028], [0.2620, 0.7380, 0.0000], [0.0000, 0.7380, 0.2620], [0.8449, 0.5874, 0.8448], [0.4126, 0.1552, 0.1551], [0.1552, 0.1551, 0.4126], [0.5000, 0.5000, 0.5000], [0.8448, 0.8449, 0.5874], [0.5874, 0.8448, 0.8449], [0.1551, 0.4126, 0.1552]],
  "de_polymorph_ev_per_fu": 0.00,
  "dft_energy_ev_per_cell": -101.178,
  "spacegroup": "R-3m",
  "formation_enthalpy_0k_kcal_per_mol_atoms": 3.62,
  "crystal_system": "trigonal"
}

=====

{
  "formula": "LaMo",
  "functional": "PBE",
  "state": "optimized geometry",
  "cell": [[3.3023, 0.0000, 0.0000], [0.0000, 9.5671, 0.0000], [0.0000, 0.0000, 9.7561]],
  "species": ["La", "La", "La", "La", "La", "La", "Mo", "Mo", "Mo", "Mo", "Mo", "Mo"],
  "frac_coords": [[0.0000, 0.6392, 0.8325], [0.5000, 0.3608, 0.6675], [0.5000, 0.3608, 0.3325], [0.0000, 0.6392, 0.1675], [0.0000, 0.7927, 0.5000], [0.5000, 0.2073, 0.0000], [0.0000, 0.0982, 0.7234], [0.5000, 0.9018, 0.7766], [0.5000, 0.9018, 0.2234], [0.0000, 0.0982, 0.2766], [0.0000, 0.9190, 0.0000], [0.5000, 0.0810, 0.5000]],
  "de_polymorph_ev_per_fu": 0.33,
  "dft_energy_ev_per_cell": -89.695,
  "spacegroup": "Pmmn",
  "formation_enthalpy_0k_kcal_per_mol_atoms": 9.33,
  "crystal_system": "orthorhombic"
}

=====

{
  "formula": "ErNi12",
  "functional": "PBE",
  "state": "optimized geometry",
  "cell": [[4.3541, 0.0000, 1.7583], [2.1771, 5.7863, 0.8792], [0.0104, 0.0000, 6.2445]],
  "species": ["Er", "Ni", "Ni", "Ni", "Ni", "Ni", "Ni", "Ni", "Ni", "Ni", "Ni", "Ni", "Ni"],
  "frac_coords": [[0.0000, 0.0000, 0.0000], [0.5000, 0.0000, 0.5000], [0.0000, 0.0000, 0.5000], [0.5000, 0.5000, 0.0000], [0.0000, 0.5000, 0.0000], [0.0000, 0.6460, 0.3540], [0.0000, 0.3540, 0.6460], [0.6460, 0.3540, 0.3540], [0.3540, 0.6460, 0.6460], [0.5000, 0.2224, 0.7776], [0.5000, 0.7776, 0.2224], [0.7224, 0.7776, 0.7776], [0.2776, 0.2224, 0.2224]],
  "de_polymorph_ev_per_fu": 0.00,
  "dft_energy_ev_per_cell": -75.522,
  "spacegroup": "I4/mmm",
  "formation_enthalpy_0k_kcal_per_mol_atoms": -2.81,
  "crystal_system": "tetragonal"
}

=====

{
  "formula": "La2InC",
  "functional": "PBE",
  "state": "optimized geometry",
  "cell": [[-0.2533, 1.2769, -3.4303], [-2.7420, -1.1072, -2.1719], [-6.5751, 7.5718, 1.3419]],
  "species": ["C", "In", "La", "La"],
  "frac_coords": [[0.5000, 0.5000, 0.5000], [0.0000, 0.0000, 0.0000], [0.1175, 0.1175, 0.6475], [0.8825, 0.8825, 0.3525]],
  "dft_energy_ev_per_cell": -22.104,
  "spacegroup": "R-3m",
  "formation_enthalpy_0k_kcal_per_mol_atoms": -1.65,
  "crystal_system": "trigonal"
}

=====

{
  "formula": "MgTa2Se",
  "functional": "PBE",
  "state": "optimized geometry",
  "cell": [[-2.1380, -4.1000, -0.7097], [1.8340, -0.5443, -2.3804], [3.6215, -2.3965, 2.9352]],
  "species": ["Mg", "Se", "Ta", "Ta"],
  "frac_coords": [[0.5000, 0.2500, 0.2500], [0.5000, 0.7500, 0.7500], [0.0000, 0.8857, 0.0040], [0.0000, 0.6143, 0.4960]],
  "de_polymorph_ev_per_fu": 0.82,
  "dft_energy_ev_per_cell": -28.017,
  "raw_formation_energy_ev_per_atom": 0.19,
  "spacegroup": "P2/m",
  "crystal_system": "monoclinic"
}

=====

{
  "formula": "CsBeAg2As",
  "functional": "PBE",
  "state": "optimized geometry",
  "cell": [[6.7417, 0.0000, 0.0000], [0.0000, 6.9909, 0.0000], [0.0000, 0.0000, 6.7417]],
  "species": ["Cs", "Be", "As", "Ag", "Ag"],
  "frac_coords": [[0.0000, 0.0000, 0.0000], [0.5000, 0.5000, 0.5000], [0.0000, 0.5000, 0.0000], [0.0000, 0.0000, 0.5000], [0.5000, 0.0000, 0.0000]],
  "dft_energy_ev_per_cell": -5.659,
  "spacegroup": "P4/mmm",
  "formation_enthalpy_0k_kcal_per_mol_atoms": 42.77,
  "crystal_system": "tetragonal"
}

=====

{
  "formula": "Tb4SmTl4",
  "functional": "PBE",
  "state": "optimized geometry",
  "cell": [[-5.8615, -0.2576, 1.1366], [1.5584, -6.6128, 6.5381], [0.9758, 6.7089, 6.5530]],
  "species": ["Tb", "Tb", "Tb", "Tb", "Tb", "Tb", "Tb", "Tb", "Sm", "Sm", "Tl", "Tl", "Tl", "Tl", "Tl", "Tl", "Tl", "Tl"],
  "frac_coords": [[0.3839, 0.4227, 0.8399], [0.8839, 0.6601, 0.9227], [0.3839, 0.5773, 0.1601], [0.1161, 0.0773, 0.6601], [0.6161, 0.8399, 0.5773], [0.1161, 0.9227, 0.3399], [0.8839, 0.3399, 0.0773], [0.6161, 0.1601, 0.4227], [0.0000, 0.0000, 0.0000], [0.5000, 0.5000, 0.5000], [0.6066, 0.8962, 0.2109], [0.6066, 0.1038, 0.7891], [0.1066, 0.7109, 0.6038], [0.8934, 0.3962, 0.7109], [0.8934, 0.6038, 0.2891], [0.3934, 0.2109, 0.1038], [0.3934, 0.7891, 0.8962], [0.1066, 0.2891, 0.3962]],
  "dft_energy_ev_per_cell": -68.453,
  "spacegroup": "P4_2/n",
  "formation_enthalpy_0k_kcal_per_mol_atoms": -3.90,
  "crystal_system": "tetragonal"
}

=====

{
  "formula": "CeZrBi2",
  "functional": "PBE",
  "state": "optimized geometry",
  "cell": [[-1.5875, -1.9746, -2.2117], [1.2959, -2.9950, -0.8132], [-6.1141, -6.6409, 7.7606]],
  "species": ["Zr", "Bi", "Bi", "Ce"],
  "frac_coords": [[0.0000, 0.0000, 0.0000], [0.0866, 0.0866, 0.7403], [0.9134, 0.9134, 0.2597], [0.5000, 0.5000, 0.5000]],
  "de_polymorph_ev_per_fu": 1.93,
  "dft_energy_ev_per_cell": -22.096,
  "spacegroup": "R-3m",
  "formation_enthalpy_0k_kcal_per_mol_atoms": 0.85,
  "crystal_system": "trigonal"
}

=====

{
  "formula": "Rb2Ba2Sc",
  "functional": "PBE",
  "state": "optimized geometry",
  "cell": [[7.2767, 0.0000, 0.0000], [0.0000, 7.2767, 0.0000], [0.0000, 0.0000, 7.1827]],
  "species": ["Sc", "Ba", "Ba", "Rb", "Rb"],
  "frac_coords": [[0.5000, 0.5000, 0.5000], [0.0000, 0.0000, 0.0000], [0.0000, 0.0000, 0.5000], [0.0000, 0.5000, 0.0000], [0.5000, 0.0000, 0.0000]],
  "dft_energy_ev_per_cell": -6.589,
  "spacegroup": "P4/mmm",
  "formation_enthalpy_0k_kcal_per_mol_atoms": 25.48,
  "crystal_system": "tetragonal"
}

=====

{
  "formula": "Dy3Ga4Ag4",
  "functional": "PBE",
  "state": "optimized geometry",
  "cell": [[-1.4228, -3.3872, -2.7399], [-0.7446, -1.9752, 2.8285], [-11.8674, 7.9200, 0.2045]],
  "species": ["Dy", "Dy", "Dy", "Ga", "Ga", "Ga", "Ga", "Ag", "Ag", "Ag", "Ag"],
  "frac_coords": [[0.3575, 0.8575, 0.7151], [0.6425, 0.1425, 0.2849], [0.0000, 0.0000, 0.0000], [0.8138, 0.3138, 0.6276], [0.4535, 0.4535, 0.9071], [0.5465, 0.5465, 0.0929], [0.1862, 0.6862, 0.3724], [0.2616, 0.2616, 0.5231], [0.0925, 0.5925, 0.1851], [0.9075, 0.4075, 0.8149], [0.7384, 0.7384, 0.4769]],
  "dft_energy_ev_per_cell": -42.084,
  "spacegroup": "Immm",
  "formation_enthalpy_0k_kcal_per_mol_atoms": -9.99,
  "crystal_system": "orthorhombic"
}